1.
Entry from the Alexandria database: crystalline AcSmDyTh at its relaxed geometry (PBE).

Cell lengths 5.8395, 5.8395, 5.8395 Å; angles 60.00, 60.00, 60.00 degrees
Fractional coordinates of all 4 atoms:
Th  0.7500  0.7500  0.7500
Dy  0.0000  0.0000  0.0000
Sm  0.5000  0.5000  0.5000
Ac  0.2500  0.2500  0.2500

Values from the calculation:
Density of states at the Fermi level = 7.1 states/eV/cell
E_form = 0.16 eV per atom
Symmetry = F-43m, No. 216
Relative energy among the computed polymorphs = 121 meV per atom
V = 140.8 Å³/f.u.

=====

2.
Entry from the Alexandria database: crystalline AcSmDyTh at its relaxed geometry (PBE).

Cell lengths 3.6926, 3.6926, 10.3858 Å; angles 90.00, 90.00, 90.00 degrees
Fractional coordinates of all 4 atoms:
Dy  0.5000  0.5000  0.3421
Th  0.0000  0.0000  0.5685
Sm  0.5000  0.5000  0.7996
Ac  0.0000  0.0000  0.0744

Values from the calculation:
Density of states at the Fermi level = 4.7 states/eV/cell
E_form = 0.04 eV per atom
Symmetry = P4mm, No. 99
Relative energy among the computed polymorphs = 0 meV per atom
V = 141.6 Å³/f.u.

=====

3.
Entry from the Alexandria database: crystalline AcSmDy2Tl4 at its relaxed geometry (PBE).

Cell lengths 5.5195, 5.5195, 9.6019 Å; angles 73.30, 73.30, 60.00 degrees
Fractional coordinates of all 8 atoms:
Tl  0.8722  0.8722  0.3835
Tl  0.1278  0.1278  0.6165
Tl  0.6212  0.6212  0.1364
Tl  0.3788  0.3788  0.8636
Dy  0.7510  0.7510  0.7469
Dy  0.2490  0.2490  0.2531
Ac  0.0000  0.0000  0.0000
Sm  0.5000  0.5000  0.5000

Values from the calculation:
Density of states at the Fermi level = 7.2 states/eV/cell
E_form = -0.33 eV per atom
Symmetry = R-3m, No. 166
V = 239.0 Å³/f.u.

=====

4.
Entry from the Alexandria database: crystalline AcSm2DyTl2 at its relaxed geometry (PBE).

Cell lengths 5.1897, 7.2268, 10.3668 Å; angles 90.00, 90.00, 90.00 degrees
Fractional coordinates of all 12 atoms:
Tl  0.0000  0.7921  0.1303
Tl  0.5000  0.7306  0.6374
Tl  0.0000  0.2921  0.8697
Tl  0.5000  0.2306  0.3626
Sm  0.0000  0.8458  0.8221
Sm  0.5000  0.0557  0.0500
Sm  0.0000  0.3458  0.1779
Sm  0.5000  0.5557  0.9500
Ac  0.0000  0.9540  0.4505
Ac  0.0000  0.4540  0.5495
Dy  0.5000  0.1675  0.7020
Dy  0.5000  0.6675  0.2980

Values from the calculation:
Density of states at the Fermi level = 14.6 states/eV/cell
E_form = -0.23 eV per atom
Symmetry = Pmc2_1, No. 26
V = 194.4 Å³/f.u.

=====

5.
Entry from the Alexandria database: crystalline AcSm2DyTl4 at its relaxed geometry (PBE).

Cell lengths 5.5401, 5.5401, 9.6632 Å; angles 73.34, 73.34, 60.00 degrees
Fractional coordinates of all 8 atoms:
Sm  0.2484  0.2484  0.2549
Sm  0.7516  0.7516  0.7451
Tl  0.6201  0.6201  0.1396
Tl  0.1284  0.1284  0.6147
Tl  0.3799  0.3799  0.8604
Tl  0.8716  0.8716  0.3853
Dy  0.5000  0.5000  0.5000
Ac  0.0000  0.0000  0.0000

Values from the calculation:
Density of states at the Fermi level = 7.6 states/eV/cell
E_form = -0.34 eV per atom
Symmetry = R-3m, No. 166
V = 242.4 Å³/f.u.

=====

6.
Entry from the Alexandria database: crystalline AcSmDyTl at its relaxed geometry (PBE).

Cell lengths 5.6528, 5.6528, 5.6528 Å; angles 60.00, 60.00, 60.00 degrees
Fractional coordinates of all 4 atoms:
Tl  0.0000  0.0000  0.0000
Ac  0.5000  0.5000  0.5000
Dy  0.2500  0.2500  0.2500
Sm  0.7500  0.7500  0.7500

Values from the calculation:
Density of states at the Fermi level = 7.9 states/eV/cell
E_form = 0.03 eV per atom
Symmetry = F-43m, No. 216
V = 127.7 Å³/f.u.

=====

7.
Entry from the Alexandria database: crystalline AcSm2Dy4Tm at its relaxed geometry (PBE).

Cell lengths 5.1215, 5.1039, 11.4000 Å; angles 63.39, 90.00, 90.00 degrees
Fractional coordinates of all 8 atoms:
Tm  0.0000  0.5000  0.5000
Sm  0.5000  0.0000  0.5000
Sm  0.0000  0.0000  0.0000
Dy  0.0000  0.2416  0.2588
Dy  0.5000  0.7416  0.2586
Dy  0.5000  0.2584  0.7414
Dy  0.0000  0.7584  0.7412
Ac  0.5000  0.5000  0.0000

Values from the calculation:
Density of states at the Fermi level = 11.4 states/eV/cell
E_form = 0.04 eV per atom
Symmetry = Pmmm, No. 47
V = 266.4 Å³/f.u.

=====

8.
Entry from the Alexandria database: crystalline AcSmDyTm at its relaxed geometry (PBE).

Cell lengths 5.8345, 5.8345, 5.8345 Å; angles 60.00, 60.00, 60.00 degrees
Fractional coordinates of all 4 atoms:
Ac  0.7500  0.7500  0.7500
Sm  0.2500  0.2500  0.2500
Dy  0.5000  0.5000  0.5000
Tm  0.0000  0.0000  0.0000

Values from the calculation:
Density of states at the Fermi level = 7.0 states/eV/cell
E_form = 0.12 eV per atom
Symmetry = F-43m, No. 216
Relative energy among the computed polymorphs = 50 meV per atom
V = 140.4 Å³/f.u.

=====

Look up the V of the fourth one.
194.4 Å³/f.u.

=====

Please write out number 5 again, unchanged.
Entry from the Alexandria database: crystalline AcSm2DyTl4 at its relaxed geometry (PBE).

Cell lengths 5.5401, 5.5401, 9.6632 Å; angles 73.34, 73.34, 60.00 degrees
Fractional coordinates of all 8 atoms:
Sm  0.2484  0.2484  0.2549
Sm  0.7516  0.7516  0.7451
Tl  0.6201  0.6201  0.1396
Tl  0.1284  0.1284  0.6147
Tl  0.3799  0.3799  0.8604
Tl  0.8716  0.8716  0.3853
Dy  0.5000  0.5000  0.5000
Ac  0.0000  0.0000  0.0000

Values from the calculation:
Density of states at the Fermi level = 7.6 states/eV/cell
E_form = -0.34 eV per atom
Symmetry = R-3m, No. 166
V = 242.4 Å³/f.u.

=====

The lowest density of states at the Fermi level belongs to which entry?
number 2